[1]
# PmTlCuPd

A relaxed structure of PmTlCuPd (PBE, Alexandria).

Calculated values
total magnetization: 0.0 μB per formula unit
VASP energy: -4.46 eV/atom
volume: 82.7 Å³/cell
D(E_F): 3.84 states/eV/cell

Unit cell a=4.890 b=4.890 c=4.890 alpha=60.00 beta=60.00 gamma=60.00
Element x y z (fractional)
1 Cu 0.250 0.250 0.250
2 Pm 0.000 0.000 0.000
3 Pd 0.750 0.750 0.750
4 Tl 0.500 0.500 0.500

[2]
# BaIn3Re

A relaxed structure of BaIn3Re (PBE, Alexandria).

Calculated values
total magnetization: 0.0 μB per formula unit
E above lowest polymorph: 0 meV per atom
VASP energy: -4.57 eV/atom
volume: 148.4 Å³/cell
D(E_F): 1.46 states/eV/cell

Unit cell a=5.294 b=5.294 c=5.294 alpha=90.00 beta=90.00 gamma=90.00
Element x y z (fractional)
1 In 0.000 0.000 0.500
2 In 0.500 0.000 0.000
3 In 0.000 0.500 0.000
4 Re 0.000 0.000 0.000
5 Ba 0.500 0.500 0.500

Listing formation enthalpy at 0 K for the structures above in their given order: -0.36 -0.05 eV per atom.